[1]
5
Lattice="4.212 0.000 0.000 0.000 4.212 0.000 0.000 0.000 3.549" Properties=species:S:1:pos:R:3 comment="Nb2CrCuH PBE relaxed" dos_ef_per_ev_cell=3.3 e_above_lowest_polymorph_ev_per_atom=0.000 pbc="T T T"
Nb 2.106 0.000 0.000
Nb 0.000 2.106 0.000
Cr 0.000 0.000 1.774
Cu 2.106 2.106 1.774
H 0.000 0.000 0.000

[2]
4
Lattice="-0.361 -0.323 -4.734 4.285 -1.285 1.623 -1.651 -4.925 0.462" Properties=species:S:1:pos:R:3 comment="MgBr2Cl PBE relaxed" dos_ef_per_ev_cell=2.2 e_above_lowest_polymorph_ev_per_atom=0.448 raw_formation_energy_ev_per_atom=-0.54 pbc="T T T"
Cl -1.006 -2.624 -2.136
Br 1.962 -0.804 -1.556
Br 0.000 0.000 0.000
Mg 1.317 -3.105 1.042

Q: Number 2 is which compound?
A: MgBr2Cl